DFT (GGA+U) results for CrReBi2O8 after structural relaxation.

Computed properties:
V	14.043	A^3/atom
DFT total energy	-83.65	eV per cell
Fermi-level density of states	2.33	states/eV/cell
mass density	7.7	g cm⁻³
M_tot	3.02	μB per formula unit

```
data_CrReBi2O8
_space_group_name_H-M_alt 'P 1 2/m 1'
_space_group_IT_number 10
_cell_length_a 5.083
_cell_length_b 6.504
_cell_length_c 5.098
_cell_angle_alpha 90.00
_cell_angle_beta 90.95
_cell_angle_gamma 90.00
loop_
_space_group_symop_operation_xyz
'x,y,z'
'-x,-y,-z'
'-x,y,-z'
'x,-y,z'
loop_
_atom_site_label
_atom_site_type_symbol
_atom_site_fract_x
_atom_site_fract_y
_atom_site_fract_z
Cr1 Cr 0.000 0.000 0.000
Re1 Re 0.000 0.500 0.000
Bi1 Bi 0.500 0.245 0.500
O1 O 0.176 0.271 0.832
O2 O 0.255 0.500 0.268
O3 O 0.278 0.000 0.285
```